# 1
Entry from the Alexandria database: Mo2AsBr after structural relaxation (PBE).

Structure (POSCAR):
```
Mo2AsBr
1.0
5.929 0.000 0.000
0.000 5.929 0.000
2.964 2.964 5.177
Mo Br As
4 2 2
direct
0.875 0.871 0.750
0.621 0.125 0.250
0.375 0.379 0.750
0.129 0.625 0.250
0.750 0.250 0.500
0.000 0.000 0.000
0.500 0.500 0.000
0.250 0.750 0.500
```

Output
- energy above the most stable polymorph in this dataset (meV/atom) = 820.6
- E_form (uncorrected) (kJ/mol of formula units) = 368
- space group = I-42d

# 2
Entry from the Alexandria database: DySiPt3 after structural relaxation (PBE).

Structure (POSCAR):
```
DySiPt3
1.0
5.019 0.000 0.000
0.000 5.690 0.000
0.000 0.000 6.714
Pt Dy Si
6 2 2
direct
0.000 0.139 0.173
0.000 0.639 0.327
0.500 0.500 0.000
0.000 0.361 0.673
0.000 0.861 0.827
0.500 0.000 0.500
0.500 0.500 0.500
0.500 0.000 0.000
0.000 0.500 0.000
0.000 0.000 0.500
```

Output
- energy above the most stable polymorph in this dataset (meV/atom) = 303.9
- E_form (uncorrected) (kJ/mol of formula units) = -383
- space group = Pbam

# 3
Entry from the Alexandria database: CsTbSnS4 after structural relaxation (PBE).

Structure (POSCAR):
```
CsTbSnS4
1.0
6.805 0.000 -0.147
0.000 7.035 0.000
-2.866 0.000 9.202
Tb S Sn Cs
2 8 2 2
direct
0.791 0.750 0.454
0.209 0.250 0.546
0.485 0.750 0.585
0.515 0.250 0.415
0.008 0.506 0.687
0.008 0.994 0.687
0.548 0.250 0.812
0.992 0.494 0.313
0.452 0.750 0.188
0.992 0.006 0.313
0.243 0.750 0.345
0.757 0.250 0.655
0.737 0.750 0.944
0.263 0.250 0.056
```

Output
- E_form (uncorrected) (kJ/mol of formula units) = -826
- space group = P2_1/m

# 4
Entry from the Alexandria database: Na3CdAs4 after structural relaxation (PBE).

Structure (POSCAR):
```
Na3CdAs4
1.0
4.276 0.000 0.000
0.000 5.722 -0.635
-2.138 -1.937 8.791
Cd As Na
1 4 3
direct
0.500 0.000 0.000
0.376 0.172 0.752
0.376 0.579 0.751
0.624 0.828 0.248
0.624 0.421 0.249
0.000 0.500 0.000
0.795 0.795 0.590
0.205 0.205 0.410
```

Output
- space group = C2/m
- ΔE_f (meV/atom) = -215

# 5
Entry from the Alexandria database: Tl2WBr after structural relaxation (PBE).

Structure (POSCAR):
```
Tl2WBr
1.0
-2.475 2.041 0.527
-0.623 -2.829 1.475
4.186 3.089 7.692
W Br Tl
1 1 2
direct
0.500 0.500 0.250
0.500 0.500 0.750
0.000 0.000 0.489
0.000 0.000 0.011
```

Output
- energy above the most stable polymorph in this dataset (meV/atom) = 345.1
- E_form (uncorrected) (kJ/mol of formula units) = 320
- space group = Cmmm

# 6
Entry from the Alexandria database: Th3Bi2Pb after structural relaxation (PBE).

Structure (POSCAR):
```
Th3Bi2Pb
1.0
-1.724 3.830 1.859
-3.147 -2.497 2.227
5.733 -0.876 7.120
Th Bi Pb
3 2 1
direct
0.000 0.000 0.000
0.000 0.500 0.645
0.500 0.000 0.355
0.000 0.500 0.288
0.500 0.000 0.712
0.500 0.500 0.000
```

Output
- energy above the most stable polymorph in this dataset (meV/atom) = 82.7
- space group = P-4m2
- ΔE_f (meV/atom) = -393